1.
Here is crystalline Pm6Sn2Pt at its relaxed geometry from the Alexandria database. Energies are from PBE-GGA.

Structure (POSCAR):
```
Pm6Sn2Pt
1.0
4.309 0.000 0.000
0.000 8.453 0.000
0.000 -4.226 7.321
Pm Sn Pt
6 2 1
Direct
0.500 0.593 0.000 Pm
0.500 0.407 0.407 Pm
0.500 0.000 0.593 Pm
0.000 0.245 0.000 Pm
0.000 0.755 0.755 Pm
0.000 0.000 0.245 Pm
0.000 0.333 0.667 Sn
0.000 0.667 0.333 Sn
0.500 0.000 0.000 Pt
```

Computed properties:
**SG**: P-62m (189)
**Formation enthalpy at 0 K**: -0.66 eV/atom

2.
Here is crystalline HoZrCoRh at its relaxed geometry from the Alexandria database. Energies are from PBE-GGA.

Structure (POSCAR):
```
HoZrCoRh
1.0
4.676 0.000 0.000
2.338 4.050 0.000
2.338 1.350 3.818
Co Rh Ho Zr
1 1 1 1
Direct
0.500 0.500 0.500 Co
0.000 0.000 0.000 Rh
0.250 0.250 0.250 Ho
0.750 0.750 0.750 Zr
```

Computed properties:
**SG**: F-43m (216)
**Formation enthalpy at 0 K**: -0.49 eV/atom

3.
Here is crystalline La4Tb2Tm at its relaxed geometry from the Alexandria database. Energies are from PBE-GGA.

Structure (POSCAR):
```
La4Tb2Tm
1.0
12.252 -3.145 -1.568
-9.598 8.238 -1.568
0.015 0.030 6.881
Tm Tb La
2 4 8
Direct
0.416 0.666 0.500 Tm
0.666 0.416 0.000 Tm
0.629 0.312 0.458 Tb
0.920 0.104 0.041 Tb
0.104 0.920 0.541 Tb
0.312 0.629 0.958 Tb
0.709 0.171 0.860 La
0.171 0.709 0.360 La
0.190 0.798 0.903 La
0.798 0.190 0.403 La
0.038 0.146 0.596 La
0.562 0.600 0.143 La
0.600 0.562 0.643 La
0.146 0.038 0.096 La
```

Computed properties:
**SG**: Cc (9)
**Formation enthalpy at 0 K**: 0.07 eV/atom
**Energy relative to the lowest polymorph listed for this composition**: 0 kJ/mol of formula units

4.
Here is crystalline Er2H3Pb at its relaxed geometry from the Alexandria database. Energies are from PBE-GGA.

Structure (POSCAR):
```
Er2H3Pb
1.0
-0.062 -3.436 -1.251
3.608 -0.473 6.465
-7.507 -0.223 0.987
Er H Pb
4 6 2
Direct
0.472 0.944 0.727 Er
0.528 0.056 0.273 Er
0.808 0.615 0.346 Er
0.192 0.385 0.654 Er
0.310 0.620 0.534 H
0.936 0.872 0.594 H
0.590 0.181 0.609 H
0.410 0.819 0.391 H
0.064 0.128 0.406 H
0.690 0.380 0.466 H
0.858 0.716 0.965 Pb
0.142 0.284 0.035 Pb
```

Computed properties:
**SG**: C2/m (12)

M_tot per entry: 0.00 0.00 0.00 0.00 μB/f.u.
DFT total energy per entry: -48.47 -29.53 -65.90 -52.93 eV per cell